! Ce2Th2Os3 | Alexandria | PBE | optimized geometry; values from VASP
&SYSTEM
  ibrav = 0, nat = 14, ntyp = 3
/
ATOMIC_SPECIES
Ce 140.12 Ce.upf
Th 232.04 Th.upf
Os 190.23 Os.upf
CELL_PARAMETERS angstrom
13.3234 0.0000 0.0000
0.0000 4.1799 0.0000
-1.7648 0.0000 6.8745
ATOMIC_POSITIONS angstrom
Ce 1.2785 0.0000 2.4534
Ce 3.6184 2.0899 4.4210
Ce 7.9402 2.0899 2.4534
Ce 10.2801 0.0000 4.4210
Th 0.0789 2.0899 6.1043
Th 4.8180 0.0000 0.7702
Th 6.7406 0.0000 6.1043
Th 11.4797 2.0899 0.7702
Os 0.0000 0.0000 0.0000
Os 1.7499 0.0000 5.0136
Os 3.1469 2.0899 1.8609
Os 6.6617 2.0899 0.0000
Os 8.4116 2.0899 5.0136
Os 9.8086 0.0000 1.8609
! Volume ... 382.84 Å³ per cell
! Energy of formation ... -117 kJ/mol of formula units
! SG ... C2/m, No. 12

***

! Ce2ThOs | Alexandria | PBE | optimized geometry; values from VASP
&SYSTEM
  ibrav = 0, nat = 16, ntyp = 3
/
ATOMIC_SPECIES
Ce 140.12 Ce.upf
Th 232.04 Th.upf
Os 190.23 Os.upf
CELL_PARAMETERS angstrom
3.7354 0.0000 0.0000
0.0000 11.2952 0.0000
0.0000 0.0000 9.8289
ATOMIC_POSITIONS angstrom
Ce 0.0000 1.5485 0.5348
Ce 0.0000 1.5485 4.3797
Ce 0.0000 9.7467 5.4492
Ce 0.0000 9.7467 9.2942
Ce 1.8677 4.0991 5.4492
Ce 1.8677 4.0991 9.2942
Ce 1.8677 7.1961 0.5348
Ce 1.8677 7.1961 4.3797
Th 0.0000 4.6930 2.4572
Th 0.0000 6.6022 7.3717
Th 1.8677 0.9546 7.3717
Th 1.8677 10.3406 2.4572
Os 0.0000 3.2719 7.3717
Os 0.0000 8.0233 2.4572
Os 1.8677 2.3757 2.4572
Os 1.8677 8.9195 7.3717
! Volume ... 414.70 Å³ per cell
! Energy of formation ... -72 kJ/mol of formula units
! SG ... Cmcm, No. 63
! ΔE to the lowest computed polymorph ... 0 meV/atom

***

Question: energy of formation of number 2 (Ce2ThOs)?
Answer: -72 kJ/mol of formula units